Entry 1:
DFT (PBE) results for a geometry-optimized AcNd3 structure.

## Properties
- Total magnetic moment: 0.00 μB per atom
- Formation energy from the elements: 0.031 eV/atom
- Theoretical density: 7.27 g/cm³

abc: 5.3264 5.3264 10.6158
angles: 90.00 90.00 90.00
Last column: nearest neighbours and their distance in Å.
Space group I4/mmm (No. 139)
Inequivalent atoms, fractional coordinates:
Ac1 0.0000 0.0000 0.0000 x2  12 Nd 3.76-3.77
Nd1 0.0000 0.0000 0.5000 x2  8 Nd 3.76, 4 Ac 3.77
Nd2 0.0000 0.5000 0.2500 x4  4 Ac 3.76, 8 Nd 3.76-3.77

Entry 2:
DFT (PBE) results for a geometry-optimized Dy3HoSc2 structure.

## Properties
- Total magnetic moment: 0.00 μB per atom
- Distance to the lowest polymorph of the same formula: 0.0000 eV/atom
- Formation energy from the elements: 0.150 eV/atom
- Theoretical density: 6.91 g/cm³

abc: 22.5614 3.3735 9.8507
angles: 90.00 107.88 90.00
Last column: nearest neighbours and their distance in Å.
Space group C2/m (No. 12)
Inequivalent atoms, fractional coordinates:
Dy1 0.0594 0.0000 0.4320 x4  3 Sc 3.21-3.44, 6 Dy 3.34-3.45
Dy2 0.0695 0.5000 0.7738 x4  8 Dy 3.37-3.71, 2 Ho 3.54, 2 Sc 3.56-3.57
Dy3 0.1973 0.0000 0.7079 x4  3 Sc 3.27-3.31, 5 Dy 3.37-3.57, 3 Ho 3.40-3.44
Ho1 0.1857 0.0000 0.0440 x4  3 Sc 3.20-3.43, 2 Ho 3.37, 5 Dy 3.40-3.54
Sc1 0.0720 0.5000 0.1377 x4  5 Sc 3.37-3.54, 2 Ho 3.43, 4 Dy 3.44-3.57
Sc2 0.1917 0.0000 0.3723 x4  1 Ho 3.20, 4 Dy 3.21-3.31, 6 Sc 3.37-3.47

Entry 3:
DFT (PBE) results for a geometry-optimized Y3TmCd structure.

## Properties
- Total magnetic moment: 0.00 μB per atom
- Distance to the lowest polymorph of the same formula: 0.1304 eV/atom
- Formation energy from the elements: -0.010 eV/atom
- Theoretical density: 5.83 g/cm³

abc: 3.6975 10.3873 8.1285
angles: 90.00 90.00 90.00
Last column: nearest neighbours and their distance in Å.
Space group Pmmn (No. 59, origin choice 2)
Inequivalent atoms, fractional coordinates:
Y1 0.2500 0.0024 0.2325 x4  2 Cd 3.21, 3 Tm 3.48-3.52
Y2 0.2500 0.7500 0.5560 x2  2 Cd 3.13, 1 Tm 3.15
Tm1 0.2500 0.7500 0.9435 x2  2 Cd 3.08, 1 Y 3.15
Cd1 0.2500 0.2500 0.7541 x2  2 Tm 3.08, 6 Y 3.13-3.21

Entry 4:
DFT (PBE) results for a geometry-optimized Tl2AgBr2 structure.

## Properties
- Energy relative to the elements, uncorrected: -309 meV per atom
- Total magnetic moment: 0.00 μB per atom
- Theoretical density: 6.08 g/cm³

abc: 6.6895 6.6895 8.2513
angles: 90.00 90.00 90.00
Last column: nearest neighbours and their distance in Å.
Space group I4/mmm (No. 139)
Inequivalent atoms, fractional coordinates:
Tl1 0.0000 0.5000 0.2500 x4  4 Br 3.37
Ag1 0.0000 0.0000 0.0000 x2  2 Br 2.48
Br1 0.0000 0.0000 0.3003 x4  1 Ag 2.48